DFT (GGA+U) results for a geometry-optimized LiNiP2O7 structure.

Results
total DFT energy (no corrections): -6.415 eV per atom
E above lowest polymorph: 0.033 eV/atom
crystal system: triclinic

Cell and atoms, written as POSCAR:
```
LiNiP2O7
1.0
-4.110 -2.423 1.714
2.816 -6.172 -1.082
4.039 -2.823 6.764
O Li P Ni
14 2 4 2
Direct
0.603 0.057 0.684 O
0.453 0.462 0.695 O
0.117 0.658 0.222 O
0.265 0.112 0.993 O
0.063 0.922 0.795 O
0.808 0.716 0.521 O
0.144 0.293 0.465 O
0.926 0.372 0.762 O
0.443 0.975 0.292 O
0.280 0.354 0.155 O
0.953 0.062 0.248 O
0.568 0.487 0.328 O
0.699 0.662 0.831 O
0.665 0.872 0.008 O
0.274 0.818 0.001 Li
0.780 0.190 0.438 Li
0.234 0.117 0.175 P
0.723 0.551 0.693 P
0.765 0.894 0.826 P
0.277 0.454 0.306 P
0.754 0.780 0.269 Ni
0.247 0.208 0.717 Ni
```